1.
BeCr2Br: relaxed, GGA-PBEsol.

Cell: 2.9542 2.9542 21.4176 Å, 90.00 90.00 120.00°
Fractional positions:
Be: 0.0000 0.0000 0.0000
Be: 0.3333 0.6667 0.6667
Be: 0.6667 0.3333 0.3333
Cr: 0.0000 0.0000 0.2485
Cr: 0.0000 0.0000 0.5130
Cr: 0.3333 0.6667 0.1796
Cr: 0.3333 0.6667 0.9152
Cr: 0.6667 0.3333 0.5819
Cr: 0.6667 0.3333 0.8463
Br: 0.0000 0.0000 0.7520
Br: 0.3333 0.6667 0.4187
Br: 0.6667 0.3333 0.0853

Calculated values
ΔE to the lowest computed polymorph	0.000	eV/atom
formation energy (no corrections)	0.56	eV/atom
mass density	5.94	g cm⁻³

***

2.
TeRu2Pb: relaxed, GGA-PBEsol.

Cell: 3.2116 4.9092 4.7027 Å, 90.00 90.00 90.00°
Fractional positions:
Te: 0.0000 0.0000 0.0000
Ru: 0.0000 0.5000 0.2193
Ru: 0.5000 0.0000 0.4219
Pb: 0.5000 0.5000 0.7009

Calculated values
ΔE to the lowest computed polymorph	0.000	eV/atom
formation energy (no corrections)	0.38	eV/atom
mass density	12.03	g cm⁻³

***

3.
BaTe2Br: relaxed, GGA-PBEsol.

Cell: 4.4777 4.4777 12.5600 Å, 90.00 90.00 90.00°
Fractional positions:
Ba: 0.0000 0.0000 0.0000
Ba: 0.5000 0.5000 0.5000
Te: 0.0000 0.5000 0.2500
Te: 0.0000 0.5000 0.7500
Te: 0.5000 0.0000 0.2500
Te: 0.5000 0.0000 0.7500
Br: 0.0000 0.0000 0.5000
Br: 0.5000 0.5000 0.0000

Calculated values
ΔE to the lowest computed polymorph	0.000	eV/atom
formation energy (no corrections)	-1.23	eV/atom
mass density	6.23	g cm⁻³

***

4.
FeRhN3: relaxed, GGA-PBEsol.

Cell: 3.5885 3.5885 3.5885 Å, 90.00 90.00 90.00°
Fractional positions:
Fe: 0.0000 0.0000 0.0000
Rh: 0.5000 0.5000 0.5000
N: 0.0000 0.0000 0.5000
N: 0.0000 0.5000 0.0000
N: 0.5000 0.0000 0.0000

Calculated values
formation energy (no corrections)	1.17	eV/atom
mass density	7.21	g cm⁻³

***

5.
LaZnRu2: relaxed, GGA-PBEsol.

Cell: 2.9027 4.2998 5.4292 Å, 90.00 93.00 90.00°
Fractional positions:
La: 0.0000 0.0000 0.0000
Zn: 0.5000 0.0000 0.5000
Ru: 0.2593 0.5000 0.7094
Ru: 0.7407 0.5000 0.2906

Calculated values
energy relative to the elements	0.226	eV per atom
mass density	9.97	g cm⁻³

***

6.
NaSrMoOs2: relaxed, GGA-PBEsol.

Cell: 4.8621 4.8621 4.8831 Å, 90.00 90.00 90.00°
Fractional positions:
Na: 0.0000 0.0000 0.0000
Sr: 0.5000 0.5000 0.5000
Mo: 0.5000 0.5000 0.0000
Os: 0.0000 0.5000 0.5000
Os: 0.5000 0.0000 0.5000

Calculated values
energy relative to the elements	3.300	eV per atom
mass density	8.44	g cm⁻³